{"formula": "La4Y4Ho5", "functional": "GGA-PBE", "state": "relaxed", "total_magnetization_mub_per_cell": 0.0, "formation_energy_mev_per_atom": 30, "lattice": [[5.112, 0.000, 0.000], [2.549, 9.197, 0.000], [2.548, -0.003, 9.199]], "species": ["La", "La", "La", "La", "Y", "Y", "Y", "Y", "Ho", "Ho", "Ho", "Ho", "Ho"], "frac_coords": [[0.078, 0.305, 0.039], [0.384, 0.539, 0.195], [0.616, 0.461, 0.805], [0.922, 0.695, 0.961], [0.152, 0.619, 0.576], [0.228, 0.924, 0.119], [0.772, 0.076, 0.881], [0.848, 0.381, 0.424], [0.000, 0.000, 0.500], [0.313, 0.227, 0.648], [0.461, 0.852, 0.727], [0.539, 0.148, 0.273], [0.687, 0.773, 0.352]]}

=====

{"formula": "HgTe2SeI", "functional": "GGA-PBE", "state": "relaxed", "total_magnetization_mub_per_cell": 0.4, "relative_energy_mev_per_atom": 394, "formation_energy_uncorrected_ev_per_atom": 0.769, "lattice": [[5.681, 0.000, 0.000], [0.000, 5.681, 0.000], [0.000, 0.000, 5.647]], "species": ["Hg", "Te", "Te", "Se", "I"], "frac_coords": [[0.000, 0.000, 0.000], [0.000, 0.500, 0.000], [0.500, 0.000, 0.000], [0.500, 0.500, 0.500], [0.000, 0.000, 0.500]]}

=====

{"formula": "ZrTiOs2", "functional": "GGA-PBE", "state": "relaxed", "total_magnetization_mub_per_cell": 0.0, "formation_energy_mev_per_atom": -573, "lattice": [[3.186, 0.000, 0.000], [0.000, 3.186, 0.000], [0.000, 0.000, 6.408]], "species": ["Zr", "Ti", "Os", "Os"], "frac_coords": [[0.000, 0.000, 0.000], [0.000, 0.000, 0.500], [0.500, 0.500, 0.265], [0.500, 0.500, 0.735]]}

=====

{"formula": "HfPt7", "functional": "GGA-PBE", "state": "relaxed", "total_magnetization_mub_per_cell": 0.0, "formation_energy_mev_per_atom": -575, "lattice": [[-1.997, 1.997, 8.068], [1.997, -1.997, 8.068], [1.997, 1.997, -8.068]], "species": ["Hf", "Pt", "Pt", "Pt", "Pt", "Pt", "Pt", "Pt"], "frac_coords": [[0.000, 0.000, 0.000], [0.123, 0.623, 0.500], [0.255, 0.255, 0.000], [0.377, 0.877, 0.500], [0.500, 0.500, 0.000], [0.623, 0.123, 0.500], [0.745, 0.745, 0.000], [0.877, 0.377, 0.500]]}

=====

{"formula": "CdFeI3", "functional": "GGA-PBE", "state": "relaxed", "total_magnetization_mub_per_cell": 0.0, "relative_energy_mev_per_atom": 0, "formation_energy_uncorrected_ev_per_atom": 0.310, "lattice": [[5.322, 0.000, 0.000], [0.000, 5.322, 0.000], [0.000, 0.000, 5.322]], "species": ["Cd", "Fe", "I", "I", "I"], "frac_coords": [[0.000, 0.000, 0.000], [0.500, 0.500, 0.500], [0.000, 0.500, 0.500], [0.500, 0.000, 0.500], [0.500, 0.500, 0.000]]}

=====

{"formula": "ZrAs2Br", "functional": "GGA-PBE", "state": "relaxed", "total_magnetization_mub_per_cell": 0.0, "relative_energy_mev_per_atom": 42, "formation_energy_uncorrected_ev_per_atom": -0.580, "lattice": [[4.602, -1.771, 0.000], [4.602, 1.771, 0.000], [-1.955, 0.000, 7.374]], "species": ["Zr", "As", "As", "Br"], "frac_coords": [[0.000, 0.000, 0.000], [0.265, 0.265, 0.899], [0.424, 0.424, 0.698], [0.626, 0.626, 0.272]]}

=====

{"formula": "SrCdOs2", "functional": "GGA-PBE", "state": "relaxed", "total_magnetization_mub_per_cell": 0.0, "formation_energy_mev_per_atom": 308, "lattice": [[2.092, 1.208, 6.518], [-2.092, 1.208, 6.518], [0.000, -2.416, 6.518]], "species": ["Sr", "Cd", "Os", "Os"], "frac_coords": [[0.000, 0.000, 0.000], [0.791, 0.791, 0.791], [0.223, 0.223, 0.223], [0.535, 0.535, 0.535]]}

=====

{"formula": "Cs2CdSnP", "functional": "GGA-PBE", "state": "relaxed", "total_magnetization_mub_per_cell": 2.0, "formation_energy_mev_per_atom": 140, "lattice": [[7.259, 0.000, 0.000], [0.000, 7.259, 0.000], [0.000, 0.000, 4.726]], "species": ["Cs", "Cs", "Cd", "Sn", "P"], "frac_coords": [[0.000, 0.500, 0.000], [0.500, 0.000, 0.000], [0.000, 0.000, 0.500], [0.500, 0.500, 0.500], [0.000, 0.000, 0.000]]}